Entry 1:
Compound: IrSe2N
Source: Alexandria
Functional: PBE
Structure: relaxed

Cell: 5.4254 5.7809 6.3934 Å, 91.46 99.74 114.45°
Closest atoms and distances in Å follow each position.
Space group P1 (No. 1)
Unique sites:
Ir 0.0000 0.0000 0.0000  2 N 1.81-1.97
Ir 0.4512 0.1526 0.7797  1 N 1.83
Se 0.1109 0.8230 0.5066  1 N 1.90
Se 0.2464 0.4588 0.9726  1 Ir 2.45, 1 Se 2.54
Se 0.4449 0.3673 0.4601  1 N 1.88
Se 0.8351 0.5296 0.0435  2 Ir 2.53-2.61, 1 Se 2.54
N 0.1963 0.0567 0.2981  2 Se 1.88-1.90, 1 Ir 1.97
N 0.6840 0.9997 0.8521  2 Ir 1.81-1.83

* spin magnetization: 0.00 μB per formula unit
* final energy: -5.6337 eV per atom
* formation energy from raw total energies: 0.41 eV per atom


Entry 2:
Compound: IrSe2N
Source: Alexandria
Functional: PBE
Structure: relaxed

Cell: 3.6801 3.8298 6.0522 Å, 99.26 99.82 104.34°
Closest atoms and distances in Å follow each position.
Space group P1 (No. 1)
Unique sites:
Ir 0.0000 0.0000 0.0000  2 N 1.92-2.01
Se 0.3839 0.8931 0.7159  2 Ir 2.45-2.50
Se 0.6727 0.3155 0.2752  1 N 1.91
N 0.9448 0.5146 0.0605  1 Se 1.91, 2 Ir 1.92-2.01

* spin magnetization: 0.00 μB per formula unit
* final energy: -5.6664 eV per atom
* formation energy from raw total energies: 0.37 eV per atom


Entry 3:
Compound: IrSe2N
Source: Alexandria
Functional: PBE
Structure: relaxed

Cell: 4.8086 6.1246 6.5477 Å, 63.18 79.21 73.86°
Closest atoms and distances in Å follow each position.
Space group P1 (No. 1)
Unique sites:
Ir 0.0000 0.0000 0.0000  1 N 1.83
Ir 0.2835 0.3813 0.9003  1 N 1.79
Se 0.1624 0.2861 0.5989  1 N 1.93
Se 0.1667 0.8622 0.3825  1 N 1.92
Se 0.4580 0.7574 0.8557  1 Se 2.51, 2 Ir 2.54-2.57
Se 0.8665 0.5841 0.1145  1 Se 2.51, 2 Ir 2.54-2.58
N 0.6261 0.1806 0.0024  2 Ir 1.79-1.83
N 0.9985 0.6003 0.6225  2 Se 1.92-1.93

* spin magnetization: 0.00 μB per formula unit
* final energy: -5.6375 eV per atom
* formation energy from raw total energies: 0.40 eV per atom


Entry 4:
Compound: Ir2SeN
Source: Alexandria
Functional: PBE
Structure: relaxed

Cell: 5.9578 5.9578 5.9578 Å, 90.00 90.00 90.00°
Closest atoms and distances in Å follow each position.
Space group Fm-3m (No. 225)
Unique sites:
Ir 0.2500 0.2500 0.2500  4 Se 2.58, 4 N 2.58
Se 0.0000 0.0000 0.0000  8 Ir 2.58
N 0.0000 0.0000 0.5000  8 Ir 2.58

* spin magnetization: 0.00 μB per formula unit
* final energy: -6.1375 eV per atom
* formation energy from raw total energies: 1.25 eV per atom


Entry 5:
Compound: IrSe2N2
Source: Alexandria
Functional: PBE
Structure: relaxed

Cell: 3.7578 3.7578 6.1702 Å, 90.00 90.00 90.00°
Closest atoms and distances in Å follow each position.
Space group P4/mmm (No. 123)
Unique sites:
Ir 0.0000 0.0000 0.0000  4 N 1.88
Se 0.0000 0.0000 0.5000  4 Se 2.66
Se 0.5000 0.5000 0.5000  4 Se 2.66
N 0.0000 0.5000 0.0000  2 Ir 1.88

* spin magnetization: 0.45 μB per formula unit
* final energy: -5.6633 eV per atom
* formation energy from raw total energies: 0.83 eV per atom


Entry 6:
Compound: IrSe2N
Source: Alexandria
Functional: PBE
Structure: relaxed

Cell: 3.7687 6.2191 6.3377 Å, 98.28 96.30 101.12°
Closest atoms and distances in Å follow each position.
Space group P-1 (No. 2)
Unique sites:
Ir 0.1685 0.2210 0.4460  5 Se 2.42-2.57
Se 0.2326 0.5985 0.3167  1 N 2.48, 3 Ir 2.53-2.57
Se 0.4118 0.9111 0.7843  2 N 1.87-1.93
N 0.4813 0.1941 0.9481  2 Se 1.87-1.93

* spin magnetization: 0.00 μB per formula unit
* final energy: -5.4410 eV per atom
* formation energy from raw total energies: 0.60 eV per atom


Entry 7:
Compound: IrSe2N
Source: Alexandria
Functional: PBE
Structure: relaxed

Cell: 4.3228 6.2480 6.6737 Å, 67.51 79.73 83.86°
Closest atoms and distances in Å follow each position.
Space group P1 (No. 1)
Unique sites:
Ir 0.0000 0.0000 0.0000  1 N 1.77
Ir 0.1435 0.6063 0.6532  1 N 1.89
Se 0.3079 0.9631 0.3096  1 N 1.90
Se 0.3406 0.6523 0.9742  1 Se 2.42, 2 Ir 2.54-2.56
Se 0.7133 0.5154 0.4655  1 N 1.88
Se 0.7578 0.8966 0.7320  1 Se 2.42, 2 Ir 2.47-2.53
N 0.0622 0.2985 0.8474  2 Ir 1.77-1.89
N 0.6626 0.7911 0.2250  2 Se 1.88-1.90, 1 Ir 2.05

* spin magnetization: 0.00 μB per formula unit
* final energy: -5.6926 eV per atom
* formation energy from raw total energies: 0.35 eV per atom


Entry 8:
Compound: IrSe2N
Source: Alexandria
Functional: PBE
Structure: relaxed

Cell: 3.8991 4.5602 8.8284 Å, 82.05 82.68 89.77°
Closest atoms and distances in Å follow each position.
Space group P1 (No. 1)
Unique sites:
Ir 0.0000 0.0000 0.0000  2 N 1.79-1.87
Ir 0.1716 0.8684 0.5988  1 N 1.91
Se 0.2803 0.6878 0.3381  1 N 1.76
Se 0.6460 0.5257 0.6879  1 Se 2.52, 2 Ir 2.55-2.56
Se 0.7044 0.1798 0.4868  1 Se 2.52, 2 Ir 2.52-2.53
Se 0.7128 0.4835 0.0106  2 Ir 2.48-2.60
N 0.0518 0.9148 0.2087  1 Se 1.76, 1 Ir 1.87
N 0.0835 0.0010 0.7961  2 Ir 1.79-1.91

* spin magnetization: 0.00 μB per formula unit
* final energy: -5.6732 eV per atom
* formation energy from raw total energies: 0.37 eV per atom


Entry 9:
Compound: Ir2SeN
Source: Alexandria
Functional: PBE
Structure: relaxed

Cell: 4.7964 4.7964 11.3103 Å, 90.00 90.00 90.00°
Closest atoms and distances in Å follow each position.
Space group I-42d (No. 122)
Unique sites:
Ir 0.1557 0.2500 0.1250  2 N 2.00
Se 0.0000 0.0000 0.5000  4 Ir 2.48
N 0.0000 0.0000 0.0000  4 Ir 2.00

* spin magnetization: 0.00 μB per formula unit
* final energy: -6.9668 eV per atom
* formation energy from raw total energies: 0.42 eV per atom


Entry 10:
Compound: IrSe2N
Source: Alexandria
Functional: PBE
Structure: relaxed

Cell: 3.7474 3.9221 5.3274 Å, 99.36 97.98 98.18°
Closest atoms and distances in Å follow each position.
Space group P-1 (No. 2)
Unique sites:
Ir 0.0000 0.0000 0.0000  2 N 1.87
Se 0.1660 0.5762 0.3267  1 Se 2.47, 2 Ir 2.56-2.67
N 0.5000 0.0000 0.0000  2 Ir 1.87

* spin magnetization: 0.00 μB per formula unit
* final energy: -5.7276 eV per atom
* formation energy from raw total energies: 0.31 eV per atom


Entry 11:
Compound: IrSe2N2
Source: Alexandria
Functional: PBE
Structure: relaxed

Cell: 5.1559 5.1559 3.6345 Å, 90.00 90.00 90.00°
Closest atoms and distances in Å follow each position.
Space group P4/mmm (No. 123)
Unique sites:
Ir 0.0000 0.0000 0.0000  2 N 1.82
Se 0.0000 0.5000 0.0000  2 Ir 2.58
N 0.0000 0.0000 0.5000  2 Ir 1.82
N 0.5000 0.5000 0.5000  8 Se 3.15

* spin magnetization: 1.18 μB per formula unit
* final energy: -4.9682 eV per atom
* formation energy from raw total energies: 1.53 eV per atom


Entry 12:
Compound: IrSe2N
Source: Alexandria
Functional: PBE
Structure: relaxed

Cell: 10.5945 4.9441 8.2575 Å, 90.00 125.67 90.00°
Closest atoms and distances in Å follow each position.
Space group Cm (No. 8)
Unique sites:
Ir 0.0000 0.0000 0.0000  1 N 1.76
Ir 0.1689 0.0000 0.7200  1 N 1.91
Se 0.2122 0.5000 0.8291  3 Ir 2.50-2.58
Se 0.2564 0.0000 0.5026  1 N 1.85
Se 0.4295 0.5000 0.3721  1 N 1.87
Se 0.4462 0.0000 0.0264  3 Ir 2.52-2.57
N 0.0532 0.0000 0.2793  2 Se 1.85-1.87, 1 Ir 2.03
N 0.0633 0.0000 0.8448  2 Ir 1.76-1.91

* spin magnetization: 0.00 μB per formula unit
* final energy: -5.6707 eV per atom
* formation energy from raw total energies: 0.37 eV per atom